The following is a DFT calculation (PBE-GGA) of Cs2RbZnGeSe after structural relaxation. Values from VASP.

Geometry as Quantum ESPRESSO input:
```
&SYSTEM
  ibrav = 0, nat = 12, ntyp = 5
/
ATOMIC_SPECIES
Cs 132.91 Cs.upf
Zn 65.41 Zn.upf
Ge 72.64 Ge.upf
Se 78.96 Se.upf
Rb 85.47 Rb.upf
ATOMIC_POSITIONS crystal
Cs 0.520 0.000 0.009
Cs 0.520 0.500 0.509
Cs 0.889 0.000 0.451
Cs 0.889 0.500 0.951
Zn 0.812 0.000 0.742
Zn 0.812 0.500 0.242
Ge 0.088 0.000 0.809
Ge 0.088 0.500 0.309
Se 0.555 0.000 0.728
Se 0.555 0.500 0.228
Rb 0.261 0.000 0.185
Rb 0.261 0.500 0.685
CELL_PARAMETERS angstrom
9.489 0.000 0.007
0.000 5.174 0.000
-5.684 0.000 11.184
```

crystal system: monoclinic
total energy: -0.17502 Ry/atom
density: 3.436 Mg/m³